(1)
First-principles (PBE) data for a relaxed structure of TlBi3Rh4, as listed in the Alexandria database.

total magnetic moment	0.000	Bohr magnetons per cell
uncorrected energy	-42.37	eV/f.u.
ΔE_f	0.1300	eV per atom

```
data_TlBi3Rh4
_cell_length_a 5.9604
_cell_length_b 10.5524
_cell_length_c 5.4418
_cell_angle_alpha 90.00
_cell_angle_beta 90.00
_cell_angle_gamma 90.00
_symmetry_space_group_name_H-M 'I m m 2'
_symmetry_Int_Tables_number 44
loop_
_symmetry_equiv_pos_as_xyz
'x,y,z'
'-x,-y,z'
'-x,y,z'
'x,-y,z'
'x+1/2,y+1/2,z+1/2'
'-x+1/2,-y+1/2,z+1/2'
'-x+1/2,y+1/2,z+1/2'
'x+1/2,-y+1/2,z+1/2'
loop_
_atom_site_label
_atom_site_type_symbol
_atom_site_fract_x
_atom_site_fract_y
_atom_site_fract_z
Tl1 Tl 0.0000 0.0000 0.0000
Bi1 Bi 0.0000 0.2925 0.8395
Bi2 Bi 0.0000 0.5000 0.3543
Rh1 Rh 0.0000 0.2248 0.3431
Rh2 Rh 0.2244 0.0000 0.4633
```


(2)
First-principles (PBE) data for a relaxed structure of TlBiRh, as listed in the Alexandria database.

offset from the most stable computed form	48.3	meV/atom
total magnetic moment	0.000	Bohr magnetons per cell
uncorrected energy	-13.67	eV/f.u.
ΔE_f	-0.0232	eV per atom

```
data_TlBiRh
_cell_length_a 6.6547
_cell_length_b 6.6547
_cell_length_c 6.6547
_cell_angle_alpha 90.00
_cell_angle_beta 90.00
_cell_angle_gamma 90.00
_symmetry_space_group_name_H-M 'F -4 3 m'
_symmetry_Int_Tables_number 216
_symmetry_space_group_name_Hall 'F -4 2 3'
loop_
_atom_site_label
_atom_site_type_symbol
_atom_site_fract_x
_atom_site_fract_y
_atom_site_fract_z
Tl1 Tl 0.0000 0.0000 0.0000
Bi1 Bi 0.0000 0.0000 0.5000
Rh1 Rh 0.2500 0.2500 0.7500
```


(3)
First-principles (PBE) data for a relaxed structure of TlBiRh, as listed in the Alexandria database.

offset from the most stable computed form	92.9	meV/atom
total magnetic moment	0.000	Bohr magnetons per cell
uncorrected energy	-13.53	eV/f.u.
ΔE_f	0.0214	eV per atom

```
data_TlBiRh
_cell_length_a 3.5861
_cell_length_b 3.5861
_cell_length_c 6.5747
_cell_angle_alpha 90.00
_cell_angle_beta 90.00
_cell_angle_gamma 120.00
_symmetry_space_group_name_H-M 'P 3 m 1'
_symmetry_Int_Tables_number 156
loop_
_symmetry_equiv_pos_as_xyz
'x,y,z'
'-y,x-y,z'
'-x+y,-x,z'
'-y,-x,z'
'-x+y,y,z'
'x,x-y,z'
loop_
_atom_site_label
_atom_site_type_symbol
_atom_site_fract_x
_atom_site_fract_y
_atom_site_fract_z
Tl1 Tl 0.0000 0.0000 0.0000
Bi1 Bi 0.3333 0.6667 0.5686
Rh1 Rh 0.6667 0.3333 0.2988
```


(4)
First-principles (PBE) data for a relaxed structure of Tl3BiRh, as listed in the Alexandria database.

offset from the most stable computed form	0.0	meV/atom
total magnetic moment	0.000	Bohr magnetons per cell
uncorrected energy	-17.56	eV/f.u.
ΔE_f	0.1550	eV per atom

```
data_Tl3BiRh
_cell_length_a 5.2950
_cell_length_b 5.2950
_cell_length_c 5.2950
_cell_angle_alpha 90.00
_cell_angle_beta 90.00
_cell_angle_gamma 90.00
_symmetry_space_group_name_H-M 'P m -3 m'
_symmetry_Int_Tables_number 221
_symmetry_space_group_name_Hall '-P 4 2 3'
loop_
_atom_site_label
_atom_site_type_symbol
_atom_site_fract_x
_atom_site_fract_y
_atom_site_fract_z
Tl1 Tl 0.0000 0.0000 0.5000
Bi1 Bi 0.5000 0.5000 0.5000
Rh1 Rh 0.0000 0.0000 0.0000
```


(5)
First-principles (PBE) data for a relaxed structure of TlBiRh, as listed in the Alexandria database.

offset from the most stable computed form	0.0	meV/atom
total magnetic moment	0.000	Bohr magnetons per cell
uncorrected energy	-13.81	eV/f.u.
ΔE_f	-0.0715	eV per atom

```
data_TlBiRh
_cell_length_a 12.3809
_cell_length_b 3.7271
_cell_length_c 6.5043
_cell_angle_alpha 90.00
_cell_angle_beta 90.00
_cell_angle_gamma 90.00
_symmetry_space_group_name_H-M 'P n m a'
_symmetry_Int_Tables_number 62
loop_
_symmetry_equiv_pos_as_xyz
'x,y,z'
'-x,-y,-z'
'-x+1/2,-y,z+1/2'
'x+1/2,y,-z+1/2'
'x+1/2,-y+1/2,-z+1/2'
'-x+1/2,y+1/2,z+1/2'
'-x,y+1/2,-z'
'x,-y+1/2,z'
loop_
_atom_site_label
_atom_site_type_symbol
_atom_site_fract_x
_atom_site_fract_y
_atom_site_fract_z
Tl1 Tl 0.2113 0.2500 0.2442
Bi1 Bi 0.0499 0.2500 0.7066
Rh1 Rh 0.0996 0.7500 0.9929
```


(6)
First-principles (PBE) data for a relaxed structure of TlBi12Rh4, as listed in the Alexandria database.

total magnetic moment	0.000	Bohr magnetons per cell
uncorrected energy	-81.09	eV/f.u.
ΔE_f	-0.1613	eV per atom

```
data_TlBi12Rh4
_cell_length_a 9.8321
_cell_length_b 9.8321
_cell_length_c 9.8321
_cell_angle_alpha 90.00
_cell_angle_beta 90.00
_cell_angle_gamma 90.00
_symmetry_space_group_name_H-M 'I m -3'
_symmetry_Int_Tables_number 204
_symmetry_space_group_name_Hall '-I 2 2 3'
loop_
_atom_site_label
_atom_site_type_symbol
_atom_site_fract_x
_atom_site_fract_y
_atom_site_fract_z
Tl1 Tl 0.0000 0.0000 0.0000
Bi1 Bi 0.0000 0.3360 0.1590
Rh1 Rh 0.2500 0.2500 0.2500
```


(7)
First-principles (PBE) data for a relaxed structure of TlBiRh2, as listed in the Alexandria database.

total magnetic moment	0.000	Bohr magnetons per cell
uncorrected energy	-20.26	eV/f.u.
ΔE_f	0.1717	eV per atom

```
data_TlBiRh2
_cell_length_a 4.2008
_cell_length_b 4.2008
_cell_length_c 16.8777
_cell_angle_alpha 90.00
_cell_angle_beta 90.00
_cell_angle_gamma 120.00
_symmetry_space_group_name_H-M 'R 3 m'
_symmetry_Int_Tables_number 160
_symmetry_space_group_name_Hall 'R 3 -2"'
loop_
_atom_site_label
_atom_site_type_symbol
_atom_site_fract_x
_atom_site_fract_y
_atom_site_fract_z
Tl1 Tl 0.0000 0.0000 0.0000
Bi1 Bi 0.0000 0.0000 0.1801
Rh1 Rh 0.0000 0.0000 0.5815
Rh2 Rh 0.0000 0.0000 0.7660
```


(8)
First-principles (PBE) data for a relaxed structure of TlBi5Rh3, as listed in the Alexandria database.

total magnetic moment	0.000	Bohr magnetons per cell
uncorrected energy	-44.14	eV/f.u.
ΔE_f	-0.0345	eV per atom

```
data_TlBi5Rh3
_cell_length_a 11.7379
_cell_length_b 9.2330
_cell_length_c 10.3110
_cell_angle_alpha 90.00
_cell_angle_beta 118.94
_cell_angle_gamma 90.00
_symmetry_space_group_name_H-M 'C 1 2/m 1'
_symmetry_Int_Tables_number 12
loop_
_symmetry_equiv_pos_as_xyz
'x,y,z'
'-x,-y,-z'
'-x,y,-z'
'x,-y,z'
'x+1/2,y+1/2,z'
'-x+1/2,-y+1/2,-z'
'-x+1/2,y+1/2,-z'
'x+1/2,-y+1/2,z'
loop_
_atom_site_label
_atom_site_type_symbol
_atom_site_fract_x
_atom_site_fract_y
_atom_site_fract_z
Tl1 Tl 0.0729 0.0000 0.2927
Bi1 Bi 0.0000 0.2991 0.0000
Bi2 Bi 0.0662 0.5000 0.3727
Bi3 Bi 0.1806 0.2188 0.6213
Bi4 Bi 0.2412 0.0000 0.0151
Rh1 Rh 0.0000 0.0000 0.0000
Rh2 Rh 0.0000 0.0000 0.5000
Rh3 Rh 0.1783 0.5000 0.1920
Rh4 Rh 0.1853 0.5000 0.7013
```


(9)
First-principles (PBE) data for a relaxed structure of TlBiRh, as listed in the Alexandria database.

offset from the most stable computed form	70.9	meV/atom
total magnetic moment	0.000	Bohr magnetons per cell
uncorrected energy	-13.60	eV/f.u.
ΔE_f	-0.0006	eV per atom

```
data_TlBiRh
_cell_length_a 3.3536
_cell_length_b 3.3536
_cell_length_c 12.8853
_cell_angle_alpha 90.00
_cell_angle_beta 90.00
_cell_angle_gamma 90.00
_symmetry_space_group_name_H-M 'I 4 m m'
_symmetry_Int_Tables_number 107
_symmetry_space_group_name_Hall 'I 4 -2'
loop_
_atom_site_label
_atom_site_type_symbol
_atom_site_fract_x
_atom_site_fract_y
_atom_site_fract_z
Tl1 Tl 0.0000 0.0000 0.0000
Bi1 Bi 0.0000 0.0000 0.2692
Rh1 Rh 0.0000 0.0000 0.6485
```


(10)
First-principles (PBE) data for a relaxed structure of TlBiRh2, as listed in the Alexandria database.

total magnetic moment	0.000	Bohr magnetons per cell
uncorrected energy	-20.63	eV/f.u.
ΔE_f	0.0793	eV per atom

```
data_TlBiRh2
_cell_length_a 3.3474
_cell_length_b 3.3474
_cell_length_c 6.8606
_cell_angle_alpha 90.00
_cell_angle_beta 90.00
_cell_angle_gamma 90.00
_symmetry_space_group_name_H-M 'P 4/m m m'
_symmetry_Int_Tables_number 123
_symmetry_space_group_name_Hall '-P 4 2'
loop_
_atom_site_label
_atom_site_type_symbol
_atom_site_fract_x
_atom_site_fract_y
_atom_site_fract_z
Tl1 Tl 0.0000 0.0000 0.0000
Bi1 Bi 0.0000 0.0000 0.5000
Rh1 Rh 0.5000 0.5000 0.2346
```


(11)
First-principles (PBE) data for a relaxed structure of Tl2BiRh, as listed in the Alexandria database.

offset from the most stable computed form	0.0	meV/atom
total magnetic moment	0.000	Bohr magnetons per cell
uncorrected energy	-14.75	eV/f.u.
ΔE_f	0.3031	eV per atom

```
data_Tl2BiRh
_cell_length_a 4.2978
_cell_length_b 4.2978
_cell_length_c 21.8755
_cell_angle_alpha 90.00
_cell_angle_beta 90.00
_cell_angle_gamma 90.00
_symmetry_space_group_name_H-M 'I -4 2 d'
_symmetry_Int_Tables_number 122
_symmetry_space_group_name_Hall 'I -4 2bw'
loop_
_atom_site_label
_atom_site_type_symbol
_atom_site_fract_x
_atom_site_fract_y
_atom_site_fract_z
Tl1 Tl 0.2352 0.2500 0.1250
Bi1 Bi 0.0000 0.0000 0.5000
Rh1 Rh 0.0000 0.0000 0.0000
```


(12)
First-principles (PBE) data for a relaxed structure of Tm6BiRh, as listed in the Alexandria database.

total magnetic moment	0.001	Bohr magnetons per cell
uncorrected energy	-39.83	eV/f.u.
ΔE_f	-0.2207	eV per atom

```
data_Tm6BiRh
_cell_length_a 6.7627
_cell_length_b 6.7707
_cell_length_c 7.5489
_cell_angle_alpha 90.11
_cell_angle_beta 116.52
_cell_angle_gamma 119.94
_symmetry_space_group_name_H-M 'P -1'
_symmetry_Int_Tables_number 2
loop_
_symmetry_equiv_pos_as_xyz
'x,y,z'
'-x,-y,-z'
loop_
_atom_site_label
_atom_site_type_symbol
_atom_site_fract_x
_atom_site_fract_y
_atom_site_fract_z
Tm1 Tm 0.0453 0.0808 0.2660
Tm2 Tm 0.3017 0.7208 0.2659
Tm3 Tm 0.3137 0.5349 0.7341
Bi1 Bi 0.5000 0.0000 0.0000
Rh1 Rh 0.5000 0.5000 0.5000
```